# 1
Computed, not measured: a geometry-optimized La6Ir2ICl3 structure at the PBE level of DFT.

Calculated values
- E_form (uncorrected) (meV/atom) = -1282

Unit cell a=18.8453 b=4.2321 c=9.0027 alpha=90.00 beta=99.91 gamma=90.00
Space group C2/m (No. 12)
Unique sites:
1 La 0.0185 0.0000 0.2848 (multiplicity 4)
2 La 0.1742 0.5000 0.5566 (multiplicity 4)
3 La 0.1828 0.5000 0.1242 (multiplicity 4)
4 Ir 0.1713 0.0000 0.3301 (multiplicity 4)
5 I 0.0000 0.5000 0.0000 (multiplicity 2)
6 Cl 0.0000 0.5000 0.5000 (multiplicity 2)
7 Cl 0.1501 0.0000 0.8266 (multiplicity 4)

***

# 2
Computed, not measured: a geometry-optimized LaIrI2Cl structure at the PBE level of DFT.

Calculated values
- E_form (uncorrected) (meV/atom) = 577

Unit cell a=6.4339 b=6.4339 c=5.1021 alpha=90.00 beta=90.00 gamma=90.00
Space group P4/mmm (No. 123)
Unique sites:
1 La 0.0000 0.0000 0.0000 (multiplicity 1)
2 Ir 0.5000 0.5000 0.0000 (multiplicity 1)
3 I 0.0000 0.5000 0.5000 (multiplicity 2)
4 Cl 0.0000 0.0000 0.5000 (multiplicity 1)

***

# 3
Computed, not measured: a geometry-optimized La3IrICl structure at the PBE level of DFT.

Calculated values
- E_form (uncorrected) (meV/atom) = -1195

Unit cell a=9.8365 b=4.2318 c=10.1189 alpha=90.00 beta=94.36 gamma=90.00
Space group P2_1/m (No. 11)
Unique sites:
1 La 0.0764 0.2500 0.3584 (multiplicity 2)
2 La 0.1515 0.2500 0.9237 (multiplicity 2)
3 La 0.3263 0.7500 0.6471 (multiplicity 2)
4 Ir 0.1304 0.2500 0.6487 (multiplicity 2)
5 I 0.3826 0.7500 0.3260 (multiplicity 2)
6 Cl 0.3583 0.7500 0.9345 (multiplicity 2)